[1]
The following is a PBE calculation of a relaxed structure of KZn2Pb, from Alexandria. Values from VASP.

## Properties
ΔE to the lowest computed polymorph: 0.066 eV per atom
Total moment: 0.0 μB/cell
Space group: Pm (6)
N(E_F): 1.10 states/eV per cell

```
&SYSTEM
  ibrav = 0, nat = 4, ntyp = 3
/
ATOMIC_SPECIES
Zn 65.41 Zn.upf
K 39.10 K.upf
Pb 207.20 Pb.upf
CELL_PARAMETERS angstrom
4.362 0.000 0.000
0.000 3.283 -0.003
0.000 1.675 7.657
ATOMIC_POSITIONS crystal
Zn 0.000 0.158 0.020
K 0.000 0.458 0.471
Pb 0.500 0.781 0.820
Zn 0.500 0.104 0.189
```

=====

[2]
The following is a PBE calculation of a relaxed structure of NbRhN, from Alexandria. Values from VASP.

## Properties
Energy relative to the elements, uncorrected: 27 meV/atom
Total moment: 0.0 μB/cell
Space group: Cmcm (63)
N(E_F): 6.85 states/eV per cell

```
&SYSTEM
  ibrav = 0, nat = 6, ntyp = 3
/
ATOMIC_SPECIES
N 14.01 N.upf
Nb 92.91 Nb.upf
Rh 102.91 Rh.upf
CELL_PARAMETERS angstrom
-2.748 2.952 -0.559
-1.301 -0.699 2.709
5.049 5.775 5.671
ATOMIC_POSITIONS crystal
N 0.250 0.079 0.843
Nb 0.750 0.363 0.274
Rh 0.750 0.727 0.547
Rh 0.250 0.273 0.453
Nb 0.250 0.637 0.726
N 0.750 0.921 0.157
```

=====

[3]
The following is a PBE calculation of a relaxed structure of Ac6SiRu2Br3, from Alexandria. Values from VASP.

## Properties
Energy relative to the elements, uncorrected: -897 meV/atom
Total moment: 0.0 μB/cell
Space group: C2/m (12)
N(E_F): 7.52 states/eV per cell

```
&SYSTEM
  ibrav = 0, nat = 12, ntyp = 4
/
ATOMIC_SPECIES
Ru 101.07 Ru.upf
Ac 227.00 Ac.upf
Br 79.90 Br.upf
Si 28.09 Si.upf
CELL_PARAMETERS angstrom
-4.820 -4.206 4.214
7.043 1.514 2.604
-3.519 7.662 1.294
ATOMIC_POSITIONS crystal
Ru 0.667 0.333 0.000
Ac 0.714 0.714 0.197
Ac 0.417 0.065 0.198
Br 0.164 0.836 0.500
Br 0.836 0.164 0.500
Ac 0.286 0.286 0.803
Ac 0.065 0.417 0.198
Si 0.000 0.000 0.000
Ac 0.583 0.935 0.802
Ru 0.333 0.667 0.000
Ac 0.935 0.583 0.802
Br 0.500 0.500 0.500
```

=====

[4]
The following is a PBE calculation of a relaxed structure of La5Tb2Pm4, from Alexandria. Values from VASP.

## Properties
ΔE to the lowest computed polymorph: 0.000 eV per atom
Total moment: 0.0 μB/cell
Space group: C2/m (12)
N(E_F): 16.93 states/eV per cell

```
&SYSTEM
  ibrav = 0, nat = 11, ntyp = 3
/
ATOMIC_SPECIES
Pm 145.00 Pm.upf
La 138.91 La.upf
Tb 158.93 Tb.upf
CELL_PARAMETERS angstrom
-2.119 -2.915 0.066
6.878 -4.810 8.394
-4.407 5.567 5.914
ATOMIC_POSITIONS crystal
Pm 0.038 0.263 0.076
La 0.178 0.076 0.356
La 0.500 0.000 0.000
Tb 0.284 0.642 0.568
La 0.822 0.924 0.644
La 0.905 0.463 0.810
Pm 0.962 0.737 0.924
La 0.095 0.537 0.190
Pm 0.641 0.799 0.283
Pm 0.359 0.201 0.717
Tb 0.716 0.358 0.432
```

=====

[5]
The following is a PBE calculation of a relaxed structure of Mg4TaAl, from Alexandria. Values from VASP.

## Properties
Uncorrected energy: -3.149 eV per atom
Total moment: 2.8 μB/cell
Space group: F-43m (216)
N(E_F): 4.41 states/eV per cell

```
&SYSTEM
  ibrav = 0, nat = 6, ntyp = 3
/
ATOMIC_SPECIES
Ta 180.95 Ta.upf
Mg 24.30 Mg.upf
Al 26.98 Al.upf
CELL_PARAMETERS angstrom
0.000 3.934 3.934
3.934 0.000 3.934
3.934 3.934 0.000
ATOMIC_POSITIONS crystal
Ta 0.750 0.750 0.750
Mg 0.376 0.873 0.376
Al 0.000 0.000 0.000
Mg 0.376 0.376 0.376
Mg 0.376 0.376 0.873
Mg 0.873 0.376 0.376
```

=====

[6]
The following is a PBE calculation of a relaxed structure of Ho2SiRu, from Alexandria. Values from VASP.

## Properties
Energy relative to the elements, uncorrected: -626 meV/atom
ΔE to the lowest computed polymorph: 0.000 eV per atom
Total moment: 0.0 μB/cell
Space group: P2_1/m (11)
N(E_F): 5.63 states/eV per cell

```
&SYSTEM
  ibrav = 0, nat = 8, ntyp = 3
/
ATOMIC_SPECIES
Ho 164.93 Ho.upf
Ru 101.07 Ru.upf
Si 28.09 Si.upf
CELL_PARAMETERS angstrom
-0.248 2.789 2.402
-4.413 2.307 -3.134
-2.633 -5.528 6.144
ATOMIC_POSITIONS crystal
Ho 0.250 0.785 0.579
Ru 0.250 0.340 0.218
Ho 0.250 0.782 0.061
Ho 0.750 0.218 0.939
Si 0.250 0.363 0.719
Ho 0.750 0.215 0.421
Ru 0.750 0.660 0.782
Si 0.750 0.637 0.281
```

=====

[7]
The following is a PBE calculation of a relaxed structure of MgPd2RuCl, from Alexandria. Values from VASP.

## Properties
Energy relative to the elements, uncorrected: 708 meV/atom
Total moment: 2.0 μB/cell
Space group: P4/mmm (123)
N(E_F): 5.74 states/eV per cell

```
&SYSTEM
  ibrav = 0, nat = 5, ntyp = 4
/
ATOMIC_SPECIES
Mg 24.30 Mg.upf
Pd 106.42 Pd.upf
Ru 101.07 Ru.upf
Cl 35.45 Cl.upf
CELL_PARAMETERS angstrom
4.528 0.000 0.000
0.000 4.606 0.000
0.000 0.000 4.528
ATOMIC_POSITIONS crystal
Mg 0.000 0.500 0.000
Pd 0.500 0.000 0.000
Pd 0.000 0.000 0.500
Ru 0.500 0.500 0.500
Cl 0.000 0.000 0.000
```

=====

[8]
The following is a PBE calculation of a relaxed structure of CsPrAs, from Alexandria. Values from VASP.

## Properties
Uncorrected energy: -4.148 eV per atom
Total moment: 0.0 μB/cell
Space group: R-3m (166)
N(E_F): 3.48 states/eV per cell

```
&SYSTEM
  ibrav = 0, nat = 6, ntyp = 3
/
ATOMIC_SPECIES
Pr 140.91 Pr.upf
As 74.92 As.upf
Cs 132.91 Cs.upf
CELL_PARAMETERS angstrom
5.018 0.000 0.000
2.509 4.346 0.000
2.509 1.449 13.815
ATOMIC_POSITIONS crystal
Pr 0.303 0.303 0.090
Pr 0.697 0.697 0.910
As 0.622 0.622 0.134
As 0.378 0.378 0.866
Cs 0.891 0.891 0.328
Cs 0.109 0.109 0.672
```